Record 1
Ag7Pt4 | PBE-GGA | relaxed

Calculated values
* density of states at the Fermi level: 12.19 states/eV per cell
* total magnetization: 0.000 μB per atom
* energy above the most stable polymorph in this dataset: 0 meV/atom
* formation energy: 0.02 eV/atom
* total energy: -87.91 eV for the cell shown

Lattice parameters (Å, degrees): 12.775 2.834 11.961 90.00 120.93 90.00
Space group Cm (No. 8)
Asymmetric unit:
1 Ag 0.000 0.000 0.000 (multiplicity 2)
2 Ag 0.039 0.500 0.814 (multiplicity 2)
3 Ag 0.179 0.000 0.277 (multiplicity 2)
4 Ag 0.269 0.000 0.914 (multiplicity 2)
5 Ag 0.363 0.000 0.551 (multiplicity 2)
6 Ag 0.410 0.500 0.368 (multiplicity 2)
7 Ag 0.451 0.000 0.185 (multiplicity 2)
8 Pt 0.094 0.000 0.636 (multiplicity 2)
9 Pt 0.136 0.500 0.460 (multiplicity 2)
10 Pt 0.225 0.500 0.096 (multiplicity 2)
11 Pt 0.311 0.500 0.731 (multiplicity 2)



Record 2
Ag3Pt | PBE-GGA | relaxed

Calculated values
* density of states at the Fermi level: 2.01 states/eV per cell
* total magnetization: 0.000 μB per atom
* formation energy: 0.94 eV/atom
* total energy: -10.82 eV for the cell shown

Lattice parameters (Å, degrees): 5.212 5.212 5.212 90.00 90.00 90.00
Space group Pm-3m (No. 221)
Asymmetric unit:
1 Ag 0.000 0.000 0.500 (multiplicity 3)
2 Pt 0.000 0.000 0.000 (multiplicity 1)



Record 3
Ag4Pt | PBE-GGA | relaxed

Calculated values
* density of states at the Fermi level: 8.94 states/eV per cell
* total magnetization: 0.000 μB per atom
* energy above the most stable polymorph in this dataset: 0 meV/atom
* formation energy: 0.01 eV/atom
* total energy: -52.13 eV for the cell shown

Lattice parameters (Å, degrees): 2.8775 2.8775 36.0579 90.00 90.00 120.00
Space group R-3m (No. 166, hexagonal axes)
Asymmetric unit:
1 Ag 0.0000 0.0000 0.1010 (multiplicity 6)
2 Ag 0.0000 0.0000 0.2995 (multiplicity 6)
3 Pt 0.0000 0.0000 0.5000 (multiplicity 3)



Record 4
Ag5Pt7 | PBE-GGA | relaxed

Calculated values
* density of states at the Fermi level: 23.72 states/eV per cell
* total magnetization: 0.000 μB per atom
* energy above the most stable polymorph in this dataset: 49 meV/atom
* formation energy: 0.04 eV/atom
* total energy: -112.12 eV for the cell shown

Lattice parameters (Å, degrees): 5.783 7.886 8.637 90.00 90.00 90.00
Space group C222 (No. 21)
Asymmetric unit:
1 Ag 0.000 0.000 0.000 (multiplicity 2)
2 Ag 0.000 0.500 0.331 (multiplicity 4)
3 Ag 0.250 0.250 0.834 (multiplicity 4)
4 Pt 0.000 0.000 0.341 (multiplicity 4)
5 Pt 0.000 0.500 0.000 (multiplicity 2)
6 Pt 0.250 0.250 0.170 (multiplicity 4)
7 Pt 0.250 0.250 0.494 (multiplicity 4)



Record 5
Pu3AgPt2 | PBE-GGA | relaxed

Calculated values
* density of states at the Fermi level: 39.93 states/eV per cell
* total magnetization: 2.813 μB per atom
* energy above the most stable polymorph in this dataset: 0 meV/atom
* formation energy: -0.43 eV/atom
* total energy: -121.06 eV for the cell shown

Lattice parameters (Å, degrees): 4.462 13.616 4.228 90.00 90.00 90.00
Space group Cmmm (No. 65)
Asymmetric unit:
1 Pu 0.000 0.000 0.000 (multiplicity 2)
2 Pu 0.000 0.174 0.500 (multiplicity 4)
3 Ag 0.000 0.500 0.500 (multiplicity 2)
4 Pt 0.000 0.340 0.000 (multiplicity 4)



Record 6
Pu2AgPt2 | PBE-GGA | relaxed

Calculated values
* density of states at the Fermi level: 39.88 states/eV per cell
* total magnetization: 2.121 μB per atom
* formation energy: -0.60 eV/atom
* total energy: -93.23 eV for the cell shown

Lattice parameters (Å, degrees): 7.646 7.646 3.783 90.00 90.00 90.00
Space group P4/mbm (No. 127)
Asymmetric unit:
1 Pu 0.167 0.333 0.000 (multiplicity 4)
2 Ag 0.000 0.000 0.500 (multiplicity 2)
3 Pt 0.135 0.635 0.500 (multiplicity 4)